Entry 1:
! SnSO4 | the Alexandria database | meta-GGA SCAN | PBEsol geometry; values from VASP
&SYSTEM
  ibrav = 0, nat = 24, ntyp = 3
/
ATOMIC_SPECIES
S 32.06 S.upf
O 16.00 O.upf
Sn 118.71 Sn.upf
ATOMIC_POSITIONS angstrom
S 1.3555 4.7234 0.6284
S 4.0666 1.2020 3.6711
S 4.0666 2.3193 7.9705
S 1.3555 5.8407 4.9278
O 0.1384 4.9784 5.0985
O 1.3555 6.8503 6.0297
O 4.0666 0.6109 5.0106
O 5.2837 1.4570 7.7998
O 4.0666 3.3289 6.8686
O 0.1384 5.5857 0.7991
O 1.3555 3.7138 1.7303
O 2.5726 5.5857 0.7991
O 5.2837 2.0643 3.5004
O 2.5726 4.9784 5.0985
O 1.3555 4.1323 7.8876
O 1.3555 6.4318 3.5882
O 2.8495 1.4570 7.7998
O 4.0666 0.1925 2.5691
O 2.8495 2.0643 3.5004
O 4.0666 2.9105 0.7112
Sn 4.0666 4.9146 2.3908
Sn 4.0666 5.6495 6.6902
Sn 1.3555 1.3932 1.9087
Sn 1.3555 2.1281 6.2081
CELL_PARAMETERS angstrom
5.4221 0.0000 0.0000
0.0000 7.0427 0.0000
0.0000 0.0000 8.5988
! * Fermi-level density of states: 0.000 states/eV/atom
! * E_form (uncorrected): -1.53 eV/atom
! * total moment: 0.00 Bohr magnetons per cell

Entry 2:
! CaPrBi2O6 | the Alexandria database | meta-GGA SCAN | PBEsol geometry; values from VASP
&SYSTEM
  ibrav = 0, nat = 20, ntyp = 4
/
ATOMIC_SPECIES
O 16.00 O.upf
Bi 208.98 Bi.upf
Pr 140.91 Pr.upf
Ca 40.08 Ca.upf
ATOMIC_POSITIONS angstrom
O 3.7190 1.9575 4.2528
O 1.1202 2.7506 5.7266
O 1.1202 2.7506 2.7791
O 4.9892 5.0553 4.2528
O 4.0355 3.3957 1.4737
O 1.8684 5.7382 5.7791
O 4.7837 0.4081 1.5262
O 4.7837 0.4081 6.9795
O 1.8684 5.7382 2.7266
O 0.8036 4.1889 0.0000
O 4.0355 3.3957 7.0320
O 2.0739 1.0910 0.0000
Bi 2.8999 1.5045 6.3751
Bi 5.8153 4.6418 2.1223
Bi 5.8153 4.6418 6.3834
Bi 2.8999 1.5045 2.1306
Pr 2.7730 4.1972 4.2528
Pr 5.6883 1.9491 0.0000
Ca 0.0618 1.2333 4.2528
Ca 2.9772 4.9130 0.0000
CELL_PARAMETERS angstrom
5.8307 0.0000 0.0000
0.0000 6.1463 0.0000
0.0000 0.0000 8.5057
! * Fermi-level density of states: 0.191 states/eV/atom
! * E_form (uncorrected): -2.10 eV/atom
! * total moment: 0.00 Bohr magnetons per cell

Entry 3:
! MgBe2Zn | the Alexandria database | meta-GGA SCAN | PBEsol geometry; values from VASP
&SYSTEM
  ibrav = 0, nat = 4, ntyp = 3
/
ATOMIC_SPECIES
Zn 65.41 Zn.upf
Mg 24.30 Mg.upf
Be 9.01 Be.upf
ATOMIC_POSITIONS angstrom
Zn 0.2992 1.6092 1.9294
Mg 0.5985 3.2184 3.8588
Be 0.8977 4.8277 5.7883
Be 0.0000 0.0000 0.0000
CELL_PARAMETERS angstrom
-1.0937 3.6819 1.5227
-0.4475 0.4992 4.0770
2.7381 2.2557 2.1180
! * Fermi-level density of states: 0.198 states/eV/atom
! * DFT formation energy: 0.282 eV per atom
! * polymorph energy (0 for the lowest one): 0 meV/atom
! * total moment: 0.00 Bohr magnetons per cell

Entry 4:
! Hg2AsW | the Alexandria database | meta-GGA SCAN | PBEsol geometry; values from VASP
&SYSTEM
  ibrav = 0, nat = 4, ntyp = 3
/
ATOMIC_SPECIES
As 74.92 As.upf
Hg 200.59 Hg.upf
W 183.84 W.upf
ATOMIC_POSITIONS angstrom
As 0.0000 0.0000 2.4024
Hg 1.9546 0.0000 0.0000
Hg 0.0000 1.9546 0.0000
W 1.9546 1.9546 2.4024
CELL_PARAMETERS angstrom
3.9092 0.0000 0.0000
0.0000 3.9092 0.0000
0.0000 0.0000 4.8049
! * Fermi-level density of states: 0.617 states/eV/atom
! * DFT formation energy: 0.982 eV per atom
! * total moment: 1.40 Bohr magnetons per cell

Entry 5:
! YMgTl2 | the Alexandria database | meta-GGA SCAN | PBEsol geometry; values from VASP
&SYSTEM
  ibrav = 0, nat = 4, ntyp = 3
/
ATOMIC_SPECIES
Y 88.91 Y.upf
Tl 204.38 Tl.upf
Mg 24.30 Mg.upf
ATOMIC_POSITIONS angstrom
Y 2.2065 2.3390 2.3390
Tl 0.0000 0.0000 2.3390
Tl 0.0000 2.3390 0.0000
Mg 2.2065 0.0000 0.0000
CELL_PARAMETERS angstrom
4.4131 0.0000 0.0000
0.0000 4.6780 0.0000
0.0000 0.0000 4.6780
! * Fermi-level density of states: 0.361 states/eV/atom
! * DFT formation energy: -0.455 eV per atom
! * total moment: 0.00 Bohr magnetons per cell

Entry 6:
! Mg2CoCl | the Alexandria database | meta-GGA SCAN | PBEsol geometry; values from VASP
&SYSTEM
  ibrav = 0, nat = 4, ntyp = 3
/
ATOMIC_SPECIES
Cl 35.45 Cl.upf
Mg 24.30 Mg.upf
Co 58.93 Co.upf
ATOMIC_POSITIONS angstrom
Cl 1.5056 2.2026 0.7290
Mg 1.5056 0.0000 2.7037
Mg 1.5056 2.2026 4.7303
Co 0.0000 2.2026 2.5544
CELL_PARAMETERS angstrom
3.0112 0.0000 0.0000
0.0000 4.4051 0.0000
-1.5056 -2.2026 5.3587
! * Fermi-level density of states: 0.333 states/eV/atom
! * E_form (uncorrected): -0.14 eV/atom
! * polymorph energy (0 for the lowest one): 0 meV/atom
! * total moment: 1.81 Bohr magnetons per cell

Entry 7:
! AlF3 | the Alexandria database | meta-GGA SCAN | PBEsol geometry; values from VASP
&SYSTEM
  ibrav = 0, nat = 8, ntyp = 2
/
ATOMIC_SPECIES
F 19.00 F.upf
Al 26.98 Al.upf
ATOMIC_POSITIONS angstrom
F 0.1039 3.9075 2.6969
F 1.8706 2.5712 1.4892
F 0.0454 1.2693 2.6505
F 3.6888 3.7295 0.0461
F 1.9437 5.1698 3.8817
F 0.1255 4.0115 5.3248
Al 0.1407 5.2046 3.9341
Al 3.6736 2.5364 1.4367
CELL_PARAMETERS angstrom
3.6065 -0.0739 -0.0230
0.1170 5.2763 0.0929
0.0908 2.5387 5.3009
! * Fermi-level density of states: 0.000 states/eV/atom
! * E_form (uncorrected): -3.79 eV/atom
! * total moment: 0.00 Bohr magnetons per cell

Entry 8:
! ZrMo2W | the Alexandria database | meta-GGA SCAN | PBEsol geometry; values from VASP
&SYSTEM
  ibrav = 0, nat = 4, ntyp = 3
/
ATOMIC_SPECIES
Mo 95.94 Mo.upf
W 183.84 W.upf
Zr 91.22 Zr.upf
ATOMIC_POSITIONS angstrom
Mo -5.1758 1.2883 6.3848
Mo -1.7253 0.4294 2.1283
W 0.0000 0.0000 0.0000
Zr -3.4505 0.8588 4.2566
CELL_PARAMETERS angstrom
-4.2161 1.1746 1.1633
-1.9671 -1.9038 3.6075
-0.7178 2.4469 3.7423
! * Fermi-level density of states: 0.776 states/eV/atom
! * DFT formation energy: -0.014 eV per atom
! * polymorph energy (0 for the lowest one): 0 meV/atom
! * total moment: 0.00 Bohr magnetons per cell

Entry 9:
! LiBeZn2 | the Alexandria database | meta-GGA SCAN | PBEsol geometry; values from VASP
&SYSTEM
  ibrav = 0, nat = 4, ntyp = 3
/
ATOMIC_SPECIES
Zn 65.41 Zn.upf
Li 6.94 Li.upf
Be 9.01 Be.upf
ATOMIC_POSITIONS angstrom
Zn 1.4502 2.0842 2.1864
Zn 0.0000 0.0000 1.8529
Li 0.0000 2.0842 0.0000
Be 1.4502 0.0000 0.0000
CELL_PARAMETERS angstrom
2.9004 0.0000 0.0000
0.0000 4.1684 0.0000
-1.4502 -2.0842 4.0393
! * Fermi-level density of states: 0.183 states/eV/atom
! * DFT formation energy: -0.005 eV per atom
! * total moment: 0.00 Bohr magnetons per cell

Entry 10:
! Cr2BiP | the Alexandria database | meta-GGA SCAN | PBEsol geometry; values from VASP
&SYSTEM
  ibrav = 0, nat = 4, ntyp = 3
/
ATOMIC_SPECIES
P 30.97 P.upf
Cr 52.00 Cr.upf
Bi 208.98 Bi.upf
ATOMIC_POSITIONS angstrom
P 0.0000 0.0000 0.0000
Cr 6.5615 3.7883 2.6787
Cr 2.1872 1.2628 0.8929
Bi 4.3743 2.5255 1.7858
CELL_PARAMETERS angstrom
4.3743 0.0000 0.0000
2.1872 3.7883 0.0000
2.1872 1.2628 3.5716
! * Fermi-level density of states: 0.544 states/eV/atom
! * DFT formation energy: 0.603 eV per atom
! * total moment: 2.84 Bohr magnetons per cell

Entry 11:
! ScReAg2Te | the Alexandria database | meta-GGA SCAN | PBEsol geometry; values from VASP
&SYSTEM
  ibrav = 0, nat = 5, ntyp = 4
/
ATOMIC_SPECIES
Te 127.60 Te.upf
Ag 107.87 Ag.upf
Re 186.21 Re.upf
Sc 44.96 Sc.upf
ATOMIC_POSITIONS angstrom
Te 0.0000 0.0000 0.0000
Ag 0.0000 2.4824 0.0000
Ag 2.4824 0.0000 0.0000
Re 2.4824 2.4824 2.6415
Sc 0.0000 0.0000 2.6415
CELL_PARAMETERS angstrom
4.9648 0.0000 0.0000
0.0000 4.9648 0.0000
0.0000 0.0000 5.2830
! * Fermi-level density of states: 0.494 states/eV/atom
! * E_form (uncorrected): 1.37 eV/atom
! * total moment: 3.11 Bohr magnetons per cell

Entry 12:
! Zr2NiSb | the Alexandria database | meta-GGA SCAN | PBEsol geometry; values from VASP
&SYSTEM
  ibrav = 0, nat = 4, ntyp = 3
/
ATOMIC_SPECIES
Zr 91.22 Zr.upf
Sb 121.76 Sb.upf
Ni 58.69 Ni.upf
ATOMIC_POSITIONS angstrom
Zr 0.0000 0.0000 2.2300
Zr 0.0000 0.0000 5.5867
Sb 1.3185 1.5488 0.0000
Ni 1.3185 1.5488 3.9084
CELL_PARAMETERS angstrom
3.1209 0.0144 0.0000
-0.4838 3.0832 0.0000
0.0000 0.0000 7.8167
! * Fermi-level density of states: 0.756 states/eV/atom
! * E_form (uncorrected): -0.35 eV/atom
! * total moment: 0.00 Bohr magnetons per cell

Entry 13:
! ZrSb2TeIr | the Alexandria database | meta-GGA SCAN | PBEsol geometry; values from VASP
&SYSTEM
  ibrav = 0, nat = 5, ntyp = 4
/
ATOMIC_SPECIES
Sb 121.76 Sb.upf
Te 127.60 Te.upf
Ir 192.22 Ir.upf
Zr 91.22 Zr.upf
ATOMIC_POSITIONS angstrom
Sb 0.0000 0.0000 2.6856
Sb 0.0000 2.6856 0.0000
Te 2.6472 0.0000 0.0000
Ir 2.6472 2.6856 2.6856
Zr 0.0000 0.0000 0.0000
CELL_PARAMETERS angstrom
5.2944 0.0000 0.0000
0.0000 5.3712 0.0000
0.0000 0.0000 5.3712
! * Fermi-level density of states: 1.007 states/eV/atom
! * E_form (uncorrected): 1.21 eV/atom
! * total moment: 2.30 Bohr magnetons per cell

Entry 14:
! Ce2InGe2 | the Alexandria database | meta-GGA SCAN | PBEsol geometry; values from VASP
&SYSTEM
  ibrav = 0, nat = 10, ntyp = 3
/
ATOMIC_SPECIES
Ce 140.12 Ce.upf
Ge 72.64 Ge.upf
In 114.82 In.upf
ATOMIC_POSITIONS angstrom
Ce -2.0355 -5.6990 -3.0949
Ce -0.2978 -4.9366 -6.3853
Ce -1.8027 -2.0346 -2.1229
Ce -0.0651 -1.2721 -5.4133
Ge 1.0043 -1.0739 -2.5023
Ge 2.2021 -3.1813 -5.8146
Ge 0.7344 -6.6336 -4.1490
Ge -0.4635 -4.5263 -0.8367
In 0.0000 0.0000 0.0000
In 0.8693 -3.8538 -3.3257
CELL_PARAMETERS angstrom
-3.8392 0.7364 -1.8569
3.0887 -0.5306 -6.5964
-1.3500 -7.1770 -0.0549
! * Fermi-level density of states: 1.247 states/eV/atom
! * DFT formation energy: -0.737 eV per atom
! * total moment: 3.37 Bohr magnetons per cell

Entry 15:
! Y2MgP | the Alexandria database | meta-GGA SCAN | PBEsol geometry; values from VASP
&SYSTEM
  ibrav = 0, nat = 4, ntyp = 3
/
ATOMIC_SPECIES
Y 88.91 Y.upf
Mg 24.30 Mg.upf
P 30.97 P.upf
ATOMIC_POSITIONS angstrom
Y 0.0000 2.2526 2.1736
Y 2.2526 0.0000 2.1736
Mg 2.2526 2.2526 0.0000
P 0.0000 0.0000 0.0000
CELL_PARAMETERS angstrom
4.5052 0.0000 0.0000
0.0000 4.5052 0.0000
-2.2526 -2.2526 4.3472
! * Fermi-level density of states: 0.383 states/eV/atom
! * DFT formation energy: -0.472 eV per atom
! * polymorph energy (0 for the lowest one): 410 meV/atom
! * total moment: 0.98 Bohr magnetons per cell

Entry 16:
! K3W2Cl9 | the Alexandria database | meta-GGA SCAN | PBEsol geometry; values from VASP
&SYSTEM
  ibrav = 0, nat = 28, ntyp = 3
/
ATOMIC_SPECIES
W 183.84 W.upf
Cl 35.45 Cl.upf
K 39.10 K.upf
ATOMIC_POSITIONS angstrom
W 3.6021 2.0797 2.7750
W 0.0000 4.1593 10.6819
W 0.0000 4.1593 13.0388
W 3.6021 2.0797 5.1319
Cl 1.4929 5.4950 9.3903
Cl 2.1092 0.7440 1.4834
Cl 0.4554 6.1529 3.9534
Cl 3.1918 4.0404 6.4235
Cl 1.4929 5.4950 14.3304
Cl 5.5053 1.4546 1.4834
Cl 0.4103 2.1986 9.3903
Cl 3.1467 0.0861 11.8603
Cl -1.9032 4.7844 9.3903
Cl 3.1918 4.0404 1.4834
Cl 5.5562 2.6821 11.8603
Cl -1.9541 3.5569 3.9534
Cl 0.4103 2.1986 14.3304
Cl 5.5053 1.4546 6.4235
Cl 2.1092 0.7440 6.4235
Cl -1.9032 4.7844 14.3304
Cl 2.1033 3.4708 11.8603
Cl 1.4988 2.7682 3.9534
K 0.0000 4.1593 1.1548
K 0.0000 0.0000 11.8603
K 0.0000 0.0000 3.9534
K 3.6021 2.0797 9.0617
K 3.6021 2.0797 14.6590
K 0.0000 4.1593 6.7521
CELL_PARAMETERS angstrom
7.2042 0.0000 0.0000
-3.6021 6.2390 0.0000
0.0000 0.0000 15.8138
! * E_form (uncorrected): -1.45 eV/atom
! * total moment: 0.00 Bohr magnetons per cell

Entry 17:
! ErPtF7 | the Alexandria database | meta-GGA SCAN | PBEsol geometry; values from VASP
&SYSTEM
  ibrav = 0, nat = 36, ntyp = 3
/
ATOMIC_SPECIES
F 19.00 F.upf
Er 167.26 Er.upf
Pt 195.08 Pt.upf
ATOMIC_POSITIONS angstrom
F 2.4080 3.9567 3.3644
F 0.4843 1.7356 2.7853
F 4.0278 2.2569 4.6652
F 5.0517 2.6372 0.4474
F 1.3286 0.4564 0.5352
F 2.9210 -1.6048 8.9788
F 1.3705 3.1697 5.7355
F 5.0643 -0.3328 4.2935
F 4.9140 3.6910 7.6153
F 0.2912 -2.0181 8.5535
F 0.2218 1.0566 6.6110
F 3.0458 5.3505 5.6477
F 3.0331 2.3805 9.4938
F 2.3652 3.0461 0.9068
F 3.1835 0.9777 2.4150
F 1.4769 6.4858 3.7307
F 3.9214 -1.0592 6.6699
F 5.1071 7.4447 1.8471
F 5.1765 4.3700 3.7896
F 0.3340 5.7594 6.1071
F 1.2222 0.5110 8.9199
F 0.3466 2.7894 9.9532
F 2.9903 1.4699 7.0363
F 2.3525 0.0761 4.7529
F 2.2148 4.4489 7.9856
F 2.4773 7.0314 1.4218
F 4.1761 4.9156 1.4807
F 4.0697 4.9702 9.8655
Er 4.1060 2.8921 2.4519
Er 1.2923 2.5345 7.9487
Er 3.9915 5.6054 7.6522
Er 1.4068 -0.1788 2.7484
Pt 4.0086 0.5840 5.6404
Pt 1.3095 -1.1323 9.9494
Pt 1.3897 4.8425 4.7602
Pt 4.0888 6.5588 0.4512
CELL_PARAMETERS angstrom
5.3983 0.0000 0.0000
0.0000 8.6881 0.0111
0.0000 -3.2615 10.3895
! * Fermi-level density of states: 0.000 states/eV/atom
! * E_form (uncorrected): -2.81 eV/atom
! * total moment: 0.00 Bohr magnetons per cell

Entry 18:
! ZnSbBr4 | the Alexandria database | meta-GGA SCAN | PBEsol geometry; values from VASP
&SYSTEM
  ibrav = 0, nat = 6, ntyp = 3
/
ATOMIC_SPECIES
Br 79.90 Br.upf
Zn 65.41 Zn.upf
Sb 121.76 Sb.upf
ATOMIC_POSITIONS angstrom
Br 4.5521 2.6281 1.8584
Br 6.0686 3.5037 4.3348
Br 6.0686 5.2548 1.8584
Br 7.5851 2.6281 1.8584
Zn 0.0000 0.0000 0.0000
Sb 9.1029 5.2555 3.7162
CELL_PARAMETERS angstrom
6.0686 0.0000 0.0000
3.0343 5.2555 0.0000
3.0343 1.7518 4.9550
! * Fermi-level density of states: 1.216 states/eV/atom
! * E_form (uncorrected): 0.77 eV/atom
! * total moment: 0.00 Bohr magnetons per cell

Entry 19:
! CsAlTeN2 | the Alexandria database | meta-GGA SCAN | PBEsol geometry; values from VASP
&SYSTEM
  ibrav = 0, nat = 5, ntyp = 4
/
ATOMIC_SPECIES
Cs 132.91 Cs.upf
Te 127.60 Te.upf
Al 26.98 Al.upf
N 14.01 N.upf
ATOMIC_POSITIONS angstrom
Cs 0.0000 0.0000 0.0000
Te 2.4997 2.5337 0.6111
Al 0.9762 3.4419 3.0772
N 0.0265 -0.5283 2.0818
N -1.5500 1.4365 0.3843
CELL_PARAMETERS angstrom
-3.1000 2.8730 0.7685
0.0530 -1.0566 4.1636
4.9994 5.0674 1.2223
! * Fermi-level density of states: 0.447 states/eV/atom
! * E_form (uncorrected): 2.18 eV/atom
! * total moment: 1.78 Bohr magnetons per cell

Entry 20:
! Ca2ScCd | the Alexandria database | meta-GGA SCAN | PBEsol geometry; values from VASP
&SYSTEM
  ibrav = 0, nat = 4, ntyp = 3
/
ATOMIC_SPECIES
Cd 112.41 Cd.upf
Ca 40.08 Ca.upf
Sc 44.96 Sc.upf
ATOMIC_POSITIONS angstrom
Cd 3.5808 2.0674 5.3587
Ca 1.7904 1.0337 2.8467
Ca 5.3712 3.1010 7.8707
Sc 0.0000 0.0000 0.0000
CELL_PARAMETERS angstrom
3.5808 0.0000 0.0000
1.7904 3.1010 0.0000
1.7904 1.0337 10.7174
! * Fermi-level density of states: 1.145 states/eV/atom
! * DFT formation energy: 0.061 eV per atom
! * total moment: 0.85 Bohr magnetons per cell